Density functional theory data (GGA-PBE) for crystalline Rb2Sc3PaO8 at its relaxed geometry.

Cell: 6.781 6.781 7.799 Å, 64.23 64.23 60.00°
Fractional positions:
Rb (0.486, 0.486, 0.541)
O (0.196, 0.681, 0.927)
O (0.681, 0.196, 0.927)
Sc (0.461, 0.008, 0.069)
Sc (0.461, 0.461, 0.069)
Sc (0.008, 0.461, 0.069)
O (0.258, 0.258, 0.225)
O (0.748, 0.748, 0.182)
O (0.196, 0.196, 0.927)
Pa (0.949, 0.949, 0.153)
Rb (0.125, 0.125, 0.625)
O (0.322, 0.748, 0.182)
O (0.748, 0.322, 0.182)
O (0.853, 0.853, 0.442)

## Properties
The total energy comes out at -7.96 eV per atom. The value obtained for the formation energy without anion corrections is -2.950 eV per atom. The density of states at the Fermi level is 0.0 states/eV/f.u. Its space group is R3m. As for the total moment: 0.0 μB per formula unit.